--- w ---
Below is a relaxed Y2TlZn3 crystal, with properties calculated at the PBE level.

Geometry as POSCAR:
```
Y2TlZn3
1.0
-1.8670 2.2746 8.0190
1.8670 -2.2746 8.0190
1.8670 2.2746 -8.0190
Y Tl Zn
2 1 3
direct
0.0000 0.0000 0.0000
0.7798 0.2798 0.5000
0.6019 0.6019 0.0000
0.1886 0.6886 0.5000
0.3407 0.8407 0.5000
0.4349 0.4349 0.0000
```

Properties
SG: Imm2, No. 44
magnetic moment: 0.0 μB/f.u.

---

--- x ---
Below is a relaxed Y2TlZn3 crystal, with properties calculated at the PBE level.

Geometry as POSCAR:
```
Y2TlZn3
1.0
0.0000 4.5917 7.9504
3.6079 0.0000 7.9504
3.6079 4.5917 0.0000
Y Tl Zn
4 2 6
direct
0.2440 0.7560 0.7560
0.2500 0.2500 0.2500
0.7500 0.7500 0.7500
0.7560 0.2440 0.2440
0.3345 0.3345 0.6655
0.6655 0.6655 0.3345
0.1608 0.1608 0.8392
0.1616 0.6784 0.3216
0.3216 0.8384 0.1616
0.6784 0.1616 0.8384
0.8384 0.3216 0.6784
0.8392 0.8392 0.1608
```

Properties
SG: Fmmm, No. 69
magnetic moment: 0.0 μB/f.u.

---

Most stable pick: x. Distance to second place: 8.3 kJ/mol of atoms.

---

--- w ---
Below is a relaxed YZr2Tl crystal, with properties calculated at the PBE level.

Geometry as POSCAR:
```
YZr2Tl
1.0
-1.7046 2.7306 5.4002
1.7046 -2.7306 5.4002
1.7046 2.7306 -5.4002
Y Zr Tl
1 2 1
direct
0.0000 0.0000 0.0000
0.2680 0.7680 0.5000
0.5063 0.5063 0.0000
0.7455 0.2455 0.5000
```

Properties
SG: Imm2, No. 44
magnetic moment: 0.0 μB/f.u.

---

--- x ---
Below is a relaxed YZr2Tl crystal, with properties calculated at the PBE level.

Geometry as POSCAR:
```
YZr2Tl
1.0
3.3111 0.0000 0.0000
0.0000 5.1446 0.0000
-0.5870 0.0000 5.8886
Y Zr Tl
1 2 1
direct
0.0000 0.0000 0.0000
0.4194 0.0000 0.5049
0.8484 0.5000 0.3613
0.4623 0.5000 0.8265
```

Properties
SG: Pm, No. 6
magnetic moment: 0.0 μB/f.u.

---

Most stable pick: x. Distance to second place: 5.1 kJ/mol of atoms.

---

--- w ---
Below is a relaxed Y2ZrTl2 crystal, with properties calculated at the PBE level.

Geometry as POSCAR:
```
Y2ZrTl2
1.0
7.8693 0.0000 0.0000
0.0000 7.8693 0.0000
0.0000 0.0000 4.4362
Y Zr Tl
4 2 4
direct
0.1724 0.3276 0.0000
0.3276 0.8276 0.0000
0.6724 0.1724 0.0000
0.8276 0.6724 0.0000
0.0000 0.0000 0.5000
0.5000 0.5000 0.5000
0.1348 0.6348 0.5000
0.3652 0.1348 0.5000
0.6348 0.8652 0.5000
0.8652 0.3652 0.5000
```

Properties
SG: P4/mbm, No. 127
magnetic moment: 0.0 μB/f.u.

---

--- x ---
Below is a relaxed Y2ZrTl2 crystal, with properties calculated at the PBE level.

Geometry as POSCAR:
```
Y2ZrTl2
1.0
8.9555 0.0000 0.0000
0.0000 8.9555 0.0000
0.0000 0.0000 3.4498
Y Zr Tl
4 2 4
direct
0.1298 0.3702 0.0000
0.3702 0.8702 0.0000
0.6298 0.1298 0.0000
0.8702 0.6298 0.0000
0.0000 0.0000 0.0000
0.5000 0.5000 0.0000
0.1717 0.6717 0.5000
0.3283 0.1717 0.5000
0.6717 0.8283 0.5000
0.8283 0.3283 0.5000
```

Properties
SG: P4/mbm, No. 127
magnetic moment: 1.0 μB/f.u.

---

Most stable pick: w. Distance to second place: 26.0 kJ/mol of atoms.

---

--- w ---
Below is a relaxed YZrTl crystal, with properties calculated at the PBE level.

Geometry as POSCAR:
```
YZrTl
1.0
-1.7427 1.7427 6.4715
1.7427 -1.7427 6.4715
1.7427 1.7427 -6.4715
Y Zr Tl
1 1 1
direct
0.0000 0.0000 0.0000
0.3265 0.3265 0.0000
0.6722 0.6722 0.0000
```

Properties
SG: I4mm, No. 107
magnetic moment: 0.0 μB/f.u.

---

--- x ---
Below is a relaxed YZrTl crystal, with properties calculated at the PBE level.

Geometry as POSCAR:
```
YZrTl
1.0
3.4413 0.0000 0.0000
-1.7207 2.9803 0.0000
0.0000 0.0000 7.8426
Y Zr Tl
1 1 1
direct
0.0000 0.0000 0.0000
0.6667 0.3333 0.3293
0.3333 0.6667 0.6516
```

Properties
SG: P3m1, No. 156
magnetic moment: 0.0 μB/f.u.

---

--- y ---
Below is a relaxed YZrTl crystal, with properties calculated at the PBE level.

Geometry as POSCAR:
```
YZrTl
1.0
5.1386 0.0000 0.0000
-2.5693 4.4502 0.0000
0.0000 0.0000 3.5123
Y Zr Tl
1 1 1
direct
0.0000 0.0000 0.0000
0.6667 0.3333 0.4996
0.3333 0.6667 0.5019
```

Properties
SG: P3m1, No. 156
magnetic moment: 0.0 μB/f.u.

---

Most stable pick: w. Distance to second place: 7.0 kJ/mol of atoms.

---

--- w ---
Below is a relaxed YZr3Tl crystal, with properties calculated at the PBE level.

Geometry as POSCAR:
```
YZr3Tl
1.0
5.4006 0.0000 0.0000
0.0000 5.4006 0.0000
0.0000 0.0000 5.4006
Y Zr Tl
1 3 1
direct
0.0000 0.0000 0.0000
0.0000 0.5000 0.5000
0.5000 0.0000 0.5000
0.5000 0.5000 0.0000
0.5000 0.5000 0.5000
```

Properties
SG: Pm-3m, No. 221
magnetic moment: 2.5 μB/f.u.

---

--- x ---
Below is a relaxed YZr3Tl crystal, with properties calculated at the PBE level.

Geometry as POSCAR:
```
YZr3Tl
1.0
5.2395 0.0000 0.0000
0.0000 5.2395 0.0000
0.0000 0.0000 5.2395
Y Zr Tl
1 3 1
direct
0.0000 0.0000 0.0000
0.0000 0.0000 0.5000
0.0000 0.5000 0.0000
0.5000 0.0000 0.0000
0.5000 0.5000 0.5000
```

Properties
SG: Pm-3m, No. 221
magnetic moment: 1.4 μB/f.u.

---

Most stable pick: w. Distance to second place: 36.4 kJ/mol of atoms.

---

--- w ---
Below is a relaxed Tl2Zn3 crystal, with properties calculated at the PBE level.

Geometry as POSCAR:
```
Tl2Zn3
1.0
0.0000 10.8824 1.5900
6.4270 0.0000 1.5900
6.4270 10.8824 0.0000
Tl Zn
4 6
direct
0.2584 0.7416 0.4868
0.7368 0.7632 0.5084
0.7416 0.2584 0.5132
0.7632 0.7368 0.9916
0.2336 0.5660 0.2705
0.3201 0.9795 0.6840
0.5660 0.2336 0.9299
0.6524 0.6524 0.3476
0.9024 0.9024 0.5976
0.9795 0.3201 0.0164
```

Properties
SG: Fdd2, No. 43
magnetic moment: 0.0 μB/f.u.

---

--- x ---
Below is a relaxed Tl2Zn3 crystal, with properties calculated at the PBE level.

Geometry as POSCAR:
```
Tl2Zn3
1.0
1.7360 1.0023 10.7639
-1.7360 1.0023 10.7639
0.0000 -2.0045 10.7639
Tl Zn
2 3
direct
0.0971 0.0971 0.0971
0.9029 0.9029 0.9029
0.3074 0.3074 0.3074
0.5000 0.5000 0.5000
0.6926 0.6926 0.6926
```

Properties
SG: R-3m, No. 166
magnetic moment: 0.0 μB/f.u.

---

Most stable pick: w. Distance to second place: 6.6 kJ/mol of atoms.

---

--- w ---
Below is a relaxed Tl4Zn crystal, with properties calculated at the PBE level.

Geometry as POSCAR:
```
Tl4Zn
1.0
5.4167 0.0000 0.0000
0.0000 5.4167 0.0000
0.0000 0.0000 5.4167
Tl Zn
4 1
direct
0.0000 0.0000 0.0000
0.0000 0.5000 0.5000
0.5000 0.0000 0.5000
0.5000 0.5000 0.0000
0.5000 0.5000 0.5000
```

Properties
SG: Pm-3m, No. 221
magnetic moment: 0.0 μB/f.u.

---

--- x ---
Below is a relaxed Tl4Zn crystal, with properties calculated at the PBE level.

Geometry as POSCAR:
```
Tl4Zn
1.0
-4.3708 4.3708 1.8346
4.3708 -4.3708 1.8346
4.3708 4.3708 -1.8346
Tl Zn
4 1
direct
0.0812 0.7220 0.8032
0.2780 0.0812 0.3592
0.7220 0.9188 0.6408
0.9188 0.2780 0.1968
0.5000 0.5000 0.0000
```

Properties
SG: I4/m, No. 87
magnetic moment: 0.0 μB/f.u.

---

Most stable pick: x. Distance to second place: 11.4 kJ/mol of atoms.

---

--- w ---
Below is a relaxed Tl3Zn5 crystal, with properties calculated at the PBE level.

Geometry as POSCAR:
```
Tl3Zn5
1.0
4.1156 -4.5649 0.0000
4.1156 4.5649 0.0000
0.0000 0.0000 4.6501
Tl Zn
3 5
direct
0.0000 0.0000 0.0000
0.2690 0.7310 0.5000
0.7310 0.2690 0.5000
0.0000 0.5000 0.0000
0.2476 0.2476 0.5000
0.5000 0.0000 0.0000
0.5000 0.5000 0.0000
0.7524 0.7524 0.5000
```

Properties
SG: Cmmm, No. 65
magnetic moment: 0.0 μB/f.u.

---

--- x ---
Below is a relaxed Tl3Zn5 crystal, with properties calculated at the PBE level.

Geometry as POSCAR:
```
Tl3Zn5
1.0
9.3330 0.0000 0.0000
-4.6665 8.0826 0.0000
0.0000 0.0000 4.8421
Tl Zn
6 10
direct
0.0000 0.3781 0.2500
0.0000 0.6219 0.7500
0.3781 0.0000 0.2500
0.3781 0.3781 0.7500
0.6219 0.0000 0.7500
0.6219 0.6219 0.2500
0.0000 0.1713 0.7500
0.0000 0.8288 0.2500
0.1713 0.0000 0.7500
0.1713 0.1713 0.2500
0.3333 0.6667 0.0000
0.3333 0.6667 0.5000
0.6667 0.3333 0.0000
0.6667 0.3333 0.5000
0.8288 0.0000 0.2500
0.8288 0.8288 0.7500
```

Properties
SG: P6_3/mcm, No. 193
magnetic moment: 0.0 μB/f.u.

---

Most stable pick: x. Distance to second place: 2.6 kJ/mol of atoms.

---

--- w ---
Below is a relaxed ZrTlZn crystal, with properties calculated at the PBE level.

Geometry as POSCAR:
```
ZrTlZn
1.0
0.0000 3.2114 3.2114
3.2114 0.0000 3.2114
3.2114 3.2114 0.0000
Zr Tl Zn
1 1 1
direct
0.0000 0.0000 0.0000
0.5000 0.5000 0.5000
0.7500 0.7500 0.7500
```

Properties
SG: F-43m, No. 216
magnetic moment: 0.0 μB/f.u.

---

--- x ---
Below is a relaxed ZrTlZn crystal, with properties calculated at the PBE level.

Geometry as POSCAR:
```
ZrTlZn
1.0
0.0000 3.3470 3.3470
3.3470 0.0000 3.3470
3.3470 3.3470 0.0000
Zr Tl Zn
1 1 1
direct
0.0000 0.0000 0.0000
0.2500 0.2500 0.2500
0.7500 0.7500 0.7500
```

Properties
SG: F-43m, No. 216
magnetic moment: 0.0 μB/f.u.

---

Most stable pick: w. Distance to second place: 22.2 kJ/mol of atoms.

---

--- w ---
Below is a relaxed ZrTlZn crystal, with properties calculated at the PBE level.

Geometry as POSCAR:
```
ZrTlZn
1.0
0.0000 2.6998 7.1813
1.7054 0.0000 7.1813
1.7054 2.6998 0.0000
Zr Tl Zn
1 1 1
direct
0.0000 0.0000 0.0000
0.6807 0.6807 0.3193
0.3423 0.3423 0.6577
```

Properties
SG: Fmm2, No. 42
magnetic moment: 0.0 μB/f.u.

---

--- x ---
Below is a relaxed ZrTlZn crystal, with properties calculated at the PBE level.

Geometry as POSCAR:
```
ZrTlZn
1.0
-1.5479 3.9956 5.5073
1.5479 -3.9956 5.5073
1.5479 3.9956 -5.5073
Zr Tl Zn
2 2 2
direct
0.2500 0.3788 0.1288
0.7500 0.1212 0.3712
0.0693 0.7500 0.8193
0.4307 0.2500 0.6807
0.6415 0.8915 0.7500
0.8585 0.6085 0.2500
```

Properties
SG: I2_12_12_1, No. 24
magnetic moment: 0.0 μB/f.u.

---

--- y ---
Below is a relaxed ZrTlZn crystal, with properties calculated at the PBE level.

Geometry as POSCAR:
```
ZrTlZn
1.0
-1.6324 1.6324 5.9119
1.6324 -1.6324 5.9119
1.6324 1.6324 -5.9119
Zr Tl Zn
1 1 1
direct
0.0000 0.0000 0.0000
0.6909 0.6909 0.0000
0.3535 0.3535 0.0000
```

Properties
SG: I4mm, No. 107
magnetic moment: 0.0 μB/f.u.

---

Most stable pick: y. Distance to second place: 10.2 kJ/mol of atoms.

---

--- w ---
Below is a relaxed Zr4TlZn crystal, with properties calculated at the PBE level.

Geometry as POSCAR:
```
Zr4TlZn
1.0
0.0000 4.0899 4.0899
4.0899 0.0000 4.0899
4.0899 4.0899 0.0000
Zr Tl Zn
4 1 1
direct
0.1254 0.1254 0.1254
0.1254 0.1254 0.6237
0.1254 0.6237 0.1254
0.6237 0.1254 0.1254
0.7500 0.7500 0.7500
0.5000 0.5000 0.5000
```

Properties
SG: F-43m, No. 216
magnetic moment: 0.0 μB/f.u.

---

--- x ---
Below is a relaxed Zr4TlZn crystal, with properties calculated at the PBE level.

Geometry as POSCAR:
```
Zr4TlZn
1.0
5.8759 -1.7116 0.0000
5.8759 1.7116 0.0000
-2.0010 0.0000 6.6052
Zr Tl Zn
4 1 1
direct
0.1572 0.1572 0.3466
0.1670 0.1670 0.8189
0.8330 0.8330 0.1811
0.8428 0.8428 0.6534
0.5000 0.5000 0.0000
0.5000 0.5000 0.5000
```

Properties
SG: C2/m, No. 12
magnetic moment: 0.0 μB/f.u.

---

--- y ---
Below is a relaxed Zr4TlZn crystal, with properties calculated at the PBE level.

Geometry as POSCAR:
```
Zr4TlZn
1.0
6.8381 0.0000 0.0000
0.0000 6.8381 0.0000
0.0000 0.0000 5.6537
Zr Tl Zn
8 2 2
direct
0.1400 0.3380 0.0000
0.1400 0.6620 0.5000
0.3380 0.1400 0.5000
0.3380 0.8600 0.0000
0.6620 0.1400 0.0000
0.6620 0.8600 0.5000
0.8600 0.3380 0.5000
0.8600 0.6620 0.0000
0.5000 0.5000 0.2500
0.5000 0.5000 0.7500
0.0000 0.0000 0.2500
0.0000 0.0000 0.7500
```

Properties
SG: P4/mcc, No. 124
magnetic moment: 0.0 μB/f.u.

---

Most stable pick: x. Distance to second place: 5.7 kJ/mol of atoms.

---

--- w ---
Below is a relaxed ZrTl2Zn2 crystal, with properties calculated at the PBE level.

Geometry as POSCAR:
```
ZrTl2Zn2
1.0
-1.7705 1.7705 8.7716
1.7705 -1.7705 8.7716
1.7705 1.7705 -8.7716
Zr Tl Zn
1 2 2
direct
0.0000 0.0000 0.0000
0.3905 0.3905 0.0000
0.6095 0.6095 0.0000
0.2500 0.7500 0.5000
0.7500 0.2500 0.5000
```

Properties
SG: I4/mmm, No. 139
magnetic moment: 0.0 μB/f.u.

---

--- x ---
Below is a relaxed ZrTl2Zn2 crystal, with properties calculated at the PBE level.

Geometry as POSCAR:
```
ZrTl2Zn2
1.0
7.7396 0.0000 0.0000
0.0000 7.7396 0.0000
0.0000 0.0000 3.5318
Zr Tl Zn
2 4 4
direct
0.0000 0.0000 0.0000
0.5000 0.5000 0.0000
0.1819 0.3181 0.5000
0.3181 0.8181 0.5000
0.6819 0.1819 0.5000
0.8181 0.6819 0.5000
0.1189 0.6189 0.0000
0.3811 0.1189 0.0000
0.6189 0.8811 0.0000
0.8811 0.3811 0.0000
```

Properties
SG: P4/mbm, No. 127
magnetic moment: 0.0 μB/f.u.

---

Most stable pick: x. Distance to second place: 6.7 kJ/mol of atoms.